YHgOs2 (GGA-PBE, relaxed); space-group type = No. 6; E_form = 0.19 eV/atom; M_tot = 0.0 μB per cell
1.0
2.912 0.000 0.000
0.000 3.707 0.000
-0.012 0.000 7.250
Y Hg Os
1 1 2
Direct
0.000 0.000 0.000
0.500 0.500 0.304
0.000 0.000 0.574
0.501 0.500 0.717